The following is a DFT calculation (PBE) of a geometry-optimized InICl2 structure.

a = 7.854 Å, b = 7.854 Å, c = 7.854 Å
α = 118.16°, β = 118.16°, γ = 93.21°
Element x y z (fractional)
In 0.000 0.000 0.000
In 0.750 0.250 0.500
I 0.250 0.750 0.500
I 0.500 0.500 0.000
Cl 0.375 0.217 0.342
Cl 0.783 0.125 0.158
Cl 0.875 0.033 0.658
Cl 0.967 0.625 0.842

Summary:
As for the space group: I-42d, No. 122. For the total energy, the calculation gives -19.169 eV/cell. As for the energy above the lowest structure with this stoichiometry: 453 meV/atom. As for the density of states at the Fermi level: 8.3 states/eV/cell. The formation energy from raw total energies comes out at -0.401 eV/atom.